(1)
DFT (GGA-PBE) results for a relaxed structure of Tb4Nd2Sc3.

Calculated values
- Final energy: -5.160 eV/atom
- ΔE to the lowest computed polymorph: 0.71 kcal/mol of atoms
- Density: 6.40 g/cm3

Geometry as POSCAR:
```
Tb4Nd2Sc3
1.0
3.5145 0.0000 0.0000
-1.7572 3.0436 0.0000
0.0000 0.0000 25.6844
Tb Nd Sc
4 2 3
Direct
0.0000 0.0000 0.0000
0.0000 0.0000 0.2065
0.3333 0.6667 0.3212
0.3333 0.6667 0.5287
0.0000 0.0000 0.6479
0.0000 0.0000 0.8609
0.0000 0.0000 0.4252
0.3333 0.6667 0.1022
0.3333 0.6667 0.7557
```

---

(2)
DFT (GGA-PBE) results for a relaxed structure of Tb7Nd2Sc2.

Calculated values
- Final energy: -4.602 eV/atom
- ΔE to the lowest computed polymorph: 4.47 kcal/mol of atoms
- Density: 6.78 g/cm3

Geometry as POSCAR:
```
Tb7Nd2Sc2
1.0
6.4196 -7.9955 0.0000
6.4196 7.9955 0.0000
-0.4278 0.0000 3.5556
Tb Nd Sc
7 2 2
Direct
0.0000 0.0000 0.0000
0.0054 0.3575 0.1768
0.2143 0.2143 0.6326
0.3575 0.0054 0.1768
0.6425 0.9946 0.8232
0.7857 0.7857 0.3674
0.9946 0.6425 0.8232
0.3232 0.6768 0.5000
0.6768 0.3232 0.5000
0.4055 0.4055 0.1481
0.5945 0.5945 0.8519
```

---

(3)
DFT (GGA-PBE) results for a relaxed structure of Tb3Nd2Sc4.

Calculated values
- Final energy: -5.308 eV/atom
- Density: 5.96 g/cm3

Geometry as POSCAR:
```
Tb3Nd2Sc4
1.0
8.0785 -5.6465 0.0000
8.0785 5.6465 0.0000
-0.7806 0.0000 5.7693
Tb Nd Sc
6 4 8
Direct
0.1310 0.8690 0.7500
0.2277 0.4535 0.8888
0.4535 0.2277 0.3888
0.5465 0.7723 0.6112
0.7723 0.5465 0.1112
0.8690 0.1310 0.2500
0.0023 0.7492 0.2007
0.2508 0.9977 0.2993
0.7492 0.0023 0.7007
0.9977 0.2508 0.7993
0.0973 0.3714 0.3445
0.3292 0.5724 0.4621
0.3714 0.0973 0.8445
0.4276 0.6708 0.0379
0.5724 0.3292 0.9621
0.6286 0.9027 0.1555
0.6708 0.4276 0.5379
0.9027 0.6286 0.6555
```

---

(4)
DFT (GGA-PBE) results for a relaxed structure of Tb5Nd2Sc4.

Calculated values
- Final energy: -5.093 eV/atom
- ΔE to the lowest computed polymorph: 2.95 kcal/mol of atoms
- Density: 6.31 g/cm3

Geometry as POSCAR:
```
Tb5Nd2Sc4
1.0
5.9951 -3.3189 0.0000
5.9951 3.3189 0.0000
-5.9510 0.0000 8.3524
Tb Nd Sc
5 2 4
Direct
0.0000 0.0000 0.0000
0.2248 0.7618 0.3316
0.2382 0.7752 0.6684
0.7618 0.2248 0.3316
0.7752 0.2382 0.6684
0.3139 0.3139 0.7424
0.6861 0.6861 0.2576
0.2717 0.2717 0.3662
0.2786 0.2786 0.0282
0.7214 0.7214 0.9718
0.7283 0.7283 0.6338
```

---

(5)
DFT (GGA-PBE) results for a relaxed structure of Tb4Nd3Sc2.

Calculated values
- Final energy: -5.012 eV/atom
- ΔE to the lowest computed polymorph: 0.00 kcal/mol of atoms
- Density: 6.84 g/cm3

Geometry as POSCAR:
```
Tb4Nd3Sc2
1.0
5.5847 -2.5080 0.0000
5.5847 2.5080 0.0000
-3.2938 0.0000 10.0344
Tb Nd Sc
4 3 2
Direct
0.0028 0.0028 0.1709
0.3322 0.3322 0.6094
0.6678 0.6678 0.3906
0.9972 0.9972 0.8291
0.0000 0.0000 0.5000
0.3313 0.3313 0.9445
0.6687 0.6687 0.0555
0.3343 0.3343 0.2793
0.6657 0.6657 0.7207
```

---

(6)
DFT (GGA-PBE) results for a relaxed structure of Tb7Nd12Sc.

Calculated values
- Final energy: -4.647 eV/atom
- ΔE to the lowest computed polymorph: 0.00 kcal/mol of atoms
- Density: 7.05 g/cm3

Geometry as POSCAR:
```
Tb7Nd12Sc
1.0
7.5985 4.3870 3.4010
-7.5985 4.3870 3.4010
0.0000 -8.7740 3.4010
Tb Nd Sc
7 12 1
Direct
0.0000 0.0000 0.0000
0.1851 0.4938 0.6013
0.3987 0.8149 0.5062
0.4938 0.6013 0.1851
0.5062 0.3987 0.8149
0.6013 0.1851 0.4938
0.8149 0.5062 0.3987
0.0970 0.4443 0.2058
0.1171 0.2794 0.8231
0.1769 0.8829 0.7206
0.2058 0.0970 0.4443
0.2794 0.8231 0.1171
0.4443 0.2058 0.0970
0.5557 0.7942 0.9030
0.7206 0.1769 0.8829
0.7942 0.9030 0.5557
0.8231 0.1171 0.2794
0.8829 0.7206 0.1769
0.9030 0.5557 0.7942
0.5000 0.5000 0.5000
```

---

(7)
DFT (GGA-PBE) results for a relaxed structure of TbNd15Sc4.

Calculated values
- Final energy: -5.044 eV/atom
- Density: 6.36 g/cm3

Geometry as POSCAR:
```
TbNd15Sc4
1.0
5.0789 0.0000 0.0000
0.0000 5.0789 0.0000
0.0000 0.0000 25.3218
Tb Nd Sc
1 15 4
Direct
0.0000 0.0000 0.0000
0.0000 0.5000 0.1032
0.0000 0.5000 0.3015
0.0000 0.5000 0.5000
0.0000 0.5000 0.6985
0.0000 0.5000 0.8968
0.5000 0.0000 0.1032
0.5000 0.0000 0.3015
0.5000 0.0000 0.5000
0.5000 0.0000 0.6985
0.5000 0.0000 0.8968
0.5000 0.5000 0.0000
0.5000 0.5000 0.2025
0.5000 0.5000 0.4007
0.5000 0.5000 0.5993
0.5000 0.5000 0.7975
0.0000 0.0000 0.2023
0.0000 0.0000 0.4007
0.0000 0.0000 0.5993
0.0000 0.0000 0.7977
```

---

(8)
DFT (GGA-PBE) results for a relaxed structure of TbNd6Sc.

Calculated values
- Final energy: -4.918 eV/atom
- Density: 6.66 g/cm3

Geometry as POSCAR:
```
TbNd6Sc
1.0
5.1076 0.0000 0.0000
0.0000 5.1076 0.0000
0.0000 0.0000 10.2199
Tb Nd Sc
1 6 1
Direct
0.0000 0.0000 0.0000
0.0000 0.5000 0.2550
0.0000 0.5000 0.7450
0.5000 0.0000 0.2550
0.5000 0.0000 0.7450
0.5000 0.5000 0.0000
0.5000 0.5000 0.5000
0.0000 0.0000 0.5000
```

---

One value per record, in order, for magnetic moment: 0.00; 0.00; 0.00; 0.00; 0.00; 0.00; 0.00; 0.00 μB/cell.